Density functional theory data (GGA-PBE) for crystalline CdSICl2 at its relaxed geometry.

Output
Energy relative to the elements, uncorrected (meV per atom): 42
Space-group type: P4/mmm, No. 123
Calculated volume (Å³ per atom): 28.19

abc: 4.9403 4.9403 5.7740
angles: 90.00 90.00 90.00
Last column: magnetic moment on the atom in μB.
Positions (direct):
Cl 0.5000 0.0000 0.0000  0.05
Cl 0.0000 0.5000 0.0000  0.05
Cd 0.0000 0.0000 0.0000  0.00
S 0.0000 0.0000 0.5000  0.12
I 0.5000 0.5000 0.5000  0.16



Density functional theory data (GGA-PBE) for crystalline LiRuW3 at its relaxed geometry.

Output
E_form (kJ/mol of formula units): 909.3
Space-group type: Pm-3m, No. 221
Calculated volume (Å³ per atom): 21.24

abc: 4.7353 4.7353 4.7353
angles: 90.00 90.00 90.00
Positions (direct):
W 0.5000 0.0000 0.0000
W 0.0000 0.0000 0.5000
W 0.0000 0.5000 0.0000
Ru 0.0000 0.0000 0.0000
Li 0.5000 0.5000 0.5000



Density functional theory data (GGA-PBE) for crystalline TbPm2Pr2Nd2 at its relaxed geometry.

Output
E_form (kJ/mol of formula units): 82.7
Space-group type: R-3m, No. 166
Calculated volume (Å³ per atom): 34.87

abc: 5.7885 5.7885 9.0513
angles: 71.35 71.35 60.00
Positions (direct):
Pm 0.4130 0.4130 0.7610
Pm 0.5870 0.5870 0.2390
Pr 0.8646 0.8646 0.4061
Pr 0.1354 0.1354 0.5939
Nd 0.2719 0.2719 0.1844
Nd 0.7281 0.7281 0.8156
Tb 0.0000 0.0000 0.0000



Density functional theory data (GGA-PBE) for crystalline CaErGaO4 at its relaxed geometry.

Output
Energy relative to the elements, uncorrected (meV per atom): -2704
Space-group type: Imma, No. 74
Calculated volume (Å³ per atom): 13.55

abc: 6.3101 6.4531 6.4531
angles: 61.35 60.73 60.73
Positions (direct):
Er 0.0000 0.0000 0.0000
Er 0.0000 0.5000 0.5000
Ca 0.0000 0.0000 0.5000
Ca 0.5000 0.0000 0.5000
O 0.7533 0.2584 0.2349
O 0.2467 0.7416 0.7651
O 0.2419 0.2563 0.7563
O 0.7581 0.7437 0.2437
O 0.2467 0.2651 0.2416
O 0.7533 0.7349 0.7584
O 0.7455 0.2563 0.7563
O 0.2545 0.7437 0.2437
Ga 0.6333 0.6167 0.1167
Ga 0.3667 0.3833 0.8833



Density functional theory data (GGA-PBE) for crystalline H2OsI at its relaxed geometry.

Output
Calculated total energy (eV/atom): -3.947
Space-group type: I-42d, No. 122
Calculated volume (Å³ per atom): 13.61

abc: 5.4343 5.4343 5.3246
angles: 59.32 59.32 90.00
Last column: magnetic moment on the atom in μB.
Positions (direct):
I 0.2500 0.7500 0.5000  0.03
I 0.5000 0.5000 0.0000  0.02
Os 0.0000 0.0000 0.0000  0.88
Os 0.7500 0.2500 0.5000  0.90
H 0.8750 0.0298 0.7500  -0.01
H 0.7798 0.1250 0.2500  -0.01
H 0.9702 0.6250 0.2500  -0.01
H 0.3750 0.2202 0.7500  -0.01



Density functional theory data (GGA-PBE) for crystalline ZrTiAl2C at its relaxed geometry.

Output
E_form (kJ/mol of formula units): 1080.9
Space-group type: P4/mmm, No. 123
Calculated volume (Å³ per atom): 25.62

abc: 5.2233 4.6944 5.2233
angles: 90.00 90.00 90.00
Last column: magnetic moment on the atom in μB.
Positions (direct):
C 0.5000 0.5000 0.5000  0.57
Al 0.5000 0.0000 0.0000  -0.01
Al 0.0000 0.0000 0.5000  -0.01
Ti 0.0000 0.5000 0.0000  0.07
Zr 0.0000 0.0000 0.0000  -0.10



> Number 5 is which compound?

H2OsI



> What is the calculated volume in the fifth record?

13.61 Å³ per atom